(1)
! Li2TlSn, relaxed, DFT PBE-GGA; values from VASP
&SYSTEM
  ibrav = 0, nat = 4, ntyp = 3
/
ATOMIC_SPECIES
Li 6.94 Li.upf
Tl 204.38 Tl.upf
Sn 118.71 Sn.upf
CELL_PARAMETERS angstrom
3.3712 0.0000 0.0000
0.0000 3.3712 0.0000
0.0000 0.0000 7.2657
ATOMIC_POSITIONS angstrom
Li 0.0000 0.0000 1.7555
Li 0.0000 0.0000 5.5102
Tl 1.6856 1.6856 3.6328
Sn 1.6856 1.6856 0.0000
! * crystal system: tetragonal
! * E above lowest polymorph: 0.0000 eV per atom

=====

(2)
! Li4Tl2Sn, relaxed, DFT PBE-GGA; values from VASP
&SYSTEM
  ibrav = 0, nat = 7, ntyp = 3
/
ATOMIC_SPECIES
Li 6.94 Li.upf
Tl 204.38 Tl.upf
Sn 118.71 Sn.upf
CELL_PARAMETERS angstrom
-2.4687 2.4687 6.4129
2.4687 -2.4687 6.4129
2.4687 2.4687 -6.4129
ATOMIC_POSITIONS angstrom
Li 2.4687 0.0000 1.4188
Li 2.4687 0.0000 4.9941
Li 0.0000 2.4687 1.4188
Li 0.0000 2.4687 4.9941
Tl 0.0000 0.0000 3.1920
Tl 0.0000 0.0000 9.6338
Sn 0.0000 0.0000 0.0000
! * crystal system: tetragonal
! * E above lowest polymorph: 0.0000 eV per atom

=====

(3)
! LiTl2Sn, relaxed, DFT PBE-GGA; values from VASP
&SYSTEM
  ibrav = 0, nat = 4, ntyp = 3
/
ATOMIC_SPECIES
Li 6.94 Li.upf
Tl 204.38 Tl.upf
Sn 118.71 Sn.upf
CELL_PARAMETERS angstrom
2.4913 1.4383 6.7534
-2.4913 1.4383 6.7534
0.0000 -2.8767 6.7534
ATOMIC_POSITIONS angstrom
Li 0.0000 0.0000 0.0000
Tl 0.0000 0.0000 7.2109
Tl 0.0000 0.0000 13.0494
Sn 0.0000 0.0000 10.1301
! * crystal system: trigonal
! * E above lowest polymorph: 0.4123 eV per atom

=====

(4)
! Li6TlSn3, relaxed, DFT PBE-GGA; values from VASP
&SYSTEM
  ibrav = 0, nat = 20, ntyp = 3
/
ATOMIC_SPECIES
Li 6.94 Li.upf
Tl 204.38 Tl.upf
Sn 118.71 Sn.upf
CELL_PARAMETERS angstrom
8.2316 0.0000 0.0000
0.0000 4.8195 0.0000
-3.8178 0.0000 10.0301
ATOMIC_POSITIONS angstrom
Li -1.2395 1.2049 4.3551
Li 0.7629 3.6146 1.8258
Li 1.8987 1.2049 0.1645
Li -0.1654 3.6146 7.7225
Li 1.5687 1.2049 3.3943
Li 1.0634 1.2049 6.2493
Li 3.3505 3.6146 3.7808
Li 2.8452 3.6146 6.6357
Li 4.5792 1.2049 2.3076
Li 2.5151 3.6146 9.8655
Li 3.6509 1.2049 8.2042
Li 5.6534 3.6146 5.6750
Tl 3.4221 3.6146 0.8416
Tl 0.9917 1.2049 9.1884
Sn -3.0035 3.6146 8.8276
Sn -1.8534 1.2049 7.1862
Sn 0.4699 3.6146 4.7650
Sn 3.9439 1.2049 5.2650
Sn 6.2672 3.6146 2.8439
Sn 7.4173 1.2049 1.2024
! * crystal system: monoclinic
! * E above lowest polymorph: 0.0000 eV per atom

=====

(5)
! Li3Tl3Sn, relaxed, DFT PBE-GGA; values from VASP
&SYSTEM
  ibrav = 0, nat = 14, ntyp = 3
/
ATOMIC_SPECIES
Li 6.94 Li.upf
Tl 204.38 Tl.upf
Sn 118.71 Sn.upf
CELL_PARAMETERS angstrom
7.3796 0.0000 0.0000
0.0000 7.3796 0.0000
0.0000 0.0000 7.3796
ATOMIC_POSITIONS angstrom
Li 0.0000 1.8449 3.6898
Li 0.0000 5.5347 3.6898
Li 1.8449 3.6898 0.0000
Li 3.6898 0.0000 1.8449
Li 3.6898 0.0000 5.5347
Li 5.5347 3.6898 0.0000
Tl 0.0000 3.6898 1.8449
Tl 0.0000 3.6898 5.5347
Tl 1.8449 0.0000 3.6898
Tl 3.6898 1.8449 0.0000
Tl 3.6898 5.5347 0.0000
Tl 5.5347 0.0000 3.6898
Sn 0.0000 0.0000 0.0000
Sn 3.6898 3.6898 3.6898
! * crystal system: cubic

=====

(6)
! Li6TlSn6, relaxed, DFT PBE-GGA; values from VASP
&SYSTEM
  ibrav = 0, nat = 13, ntyp = 3
/
ATOMIC_SPECIES
Li 6.94 Li.upf
Tl 204.38 Tl.upf
Sn 118.71 Sn.upf
CELL_PARAMETERS angstrom
2.9283 -5.7162 0.0000
2.9283 5.7162 0.0000
0.0000 0.0000 9.4552
ATOMIC_POSITIONS angstrom
Li 0.0000 0.0000 1.6357
Li 0.0000 0.0000 7.8195
Li 2.9283 1.8275 4.7276
Li 2.9283 1.7181 0.0000
Li 2.9283 -1.7181 0.0000
Li 2.9283 -1.8275 4.7276
Tl 0.0000 0.0000 4.7276
Sn 1.4642 2.8581 2.3502
Sn 1.4642 2.8581 7.1051
Sn 1.4642 -2.8581 2.3502
Sn 1.4642 -2.8581 7.1051
Sn 2.9283 0.0000 2.3977
Sn 2.9283 0.0000 7.0575
! * crystal system: orthorhombic

=====

(7)
! Li2TlSn, relaxed, DFT PBE-GGA; values from VASP
&SYSTEM
  ibrav = 0, nat = 4, ntyp = 3
/
ATOMIC_SPECIES
Li 6.94 Li.upf
Tl 204.38 Tl.upf
Sn 118.71 Sn.upf
CELL_PARAMETERS angstrom
0.0000 3.4580 3.4580
3.4580 0.0000 3.4580
3.4580 3.4580 0.0000
ATOMIC_POSITIONS angstrom
Li 1.7290 1.7290 1.7290
Li 5.1870 5.1870 5.1870
Tl 0.0000 0.0000 0.0000
Sn 3.4580 3.4580 3.4580
! * crystal system: cubic
! * E above lowest polymorph: 0.0124 eV per atom

=====

(8)
! LiTl2Sn2, relaxed, DFT PBE-GGA; values from VASP
&SYSTEM
  ibrav = 0, nat = 10, ntyp = 3
/
ATOMIC_SPECIES
Li 6.94 Li.upf
Tl 204.38 Tl.upf
Sn 118.71 Sn.upf
CELL_PARAMETERS angstrom
7.7269 0.0000 0.0000
0.0000 7.7269 0.0000
0.0000 0.0000 4.7445
ATOMIC_POSITIONS angstrom
Li 0.0000 0.0000 0.0000
Li 3.8635 3.8635 0.0000
Tl 1.2918 2.5716 2.3723
Tl 2.5716 6.4351 2.3723
Tl 5.1553 1.2918 2.3723
Tl 6.4351 5.1553 2.3723
Sn 1.0759 4.9393 0.0000
Sn 2.7876 1.0759 0.0000
Sn 4.9393 6.6511 0.0000
Sn 6.6511 2.7876 0.0000
! * crystal system: tetragonal
! * E above lowest polymorph: 0.1067 eV per atom

=====

DFT formation energy (eV/atom)
-0.286 -0.244 0.340 -0.325 0.302 -0.172 -0.274 -0.004